No. 1
4
Lattice="-1.530 2.402 4.569 1.530 -2.402 4.569 1.530 2.402 -4.569" Properties=species:S:1:pos:R:3 comment="CdMo2Rh (PBE-GGA, relaxed)" dos_at_fermi_per_ev_atom=0.845 crystal_system=orthorhombic pbc="T T T"
Cd 0.000 0.000 0.000
Mo 1.530 0.000 2.564
Mo 0.000 0.000 4.522
Rh 0.000 2.402 2.136

No. 2
4
Lattice="2.757 0.000 0.000 0.000 4.281 0.000 0.000 0.000 5.496" Properties=species:S:1:pos:R:3 comment="CdMo2Rh (PBE-GGA, relaxed)" dos_at_fermi_per_ev_atom=0.807 crystal_system=orthorhombic pbc="T T T"
Cd 0.000 0.000 0.000
Mo 1.378 2.140 1.489
Mo 1.378 2.140 4.007
Rh 0.000 0.000 2.748

No. 3
4
Lattice="3.842 0.000 0.000 0.000 3.842 0.000 0.000 0.000 4.381" Properties=species:S:1:pos:R:3 comment="CdMo2Rh (PBE-GGA, relaxed)" dos_at_fermi_per_ev_atom=1.114 crystal_system=tetragonal pbc="T T T"
Cd 0.000 0.000 0.000
Mo 0.000 1.921 2.190
Mo 1.921 0.000 2.190
Rh 1.921 1.921 0.000

No. 4
4
Lattice="2.805 0.000 0.000 0.000 4.141 0.000 -0.008 0.000 5.496" Properties=species:S:1:pos:R:3 comment="CdMoRh2 (PBE-GGA, relaxed)" dos_at_fermi_per_ev_atom=0.930 crystal_system=monoclinic pbc="T T T"
Cd 0.000 0.000 0.000
Mo 1.403 2.070 3.814
Rh 0.000 0.000 2.771
Rh 1.398 2.070 1.292

No. 5
5
Lattice="4.721 0.000 0.000 0.000 4.721 0.000 0.000 0.000 4.721" Properties=species:S:1:pos:R:3 comment="CdMoRh3 (PBE-GGA, relaxed)" dos_at_fermi_per_ev_atom=2.755 crystal_system=cubic pbc="T T T"
Cd 0.000 0.000 0.000
Mo 2.361 2.361 2.361
Rh 0.000 0.000 2.361
Rh 0.000 2.361 0.000
Rh 2.361 0.000 0.000

No. 6
4
Lattice="-1.915 1.915 4.289 1.915 -1.915 4.289 1.915 1.915 -4.289" Properties=species:S:1:pos:R:3 comment="CdMoRh2 (PBE-GGA, relaxed)" dos_at_fermi_per_ev_atom=0.698 crystal_system=tetragonal pbc="T T T"
Cd 0.000 0.000 0.000
Mo 0.000 1.915 2.145
Rh 1.915 0.000 2.145
Rh 0.000 0.000 4.289

No. 7
4
Lattice="3.210 0.000 0.000 0.000 3.210 0.000 0.000 0.000 6.477" Properties=species:S:1:pos:R:3 comment="CdMo2Rh (PBE-GGA, relaxed)" dos_at_fermi_per_ev_atom=1.374 crystal_system=tetragonal pbc="T T T"
Cd 0.000 0.000 0.000
Mo 0.000 0.000 3.216
Mo 1.605 1.605 1.882
Rh 1.605 1.605 4.808

No. 8
4
Lattice="4.978 -1.537 0.000 4.978 1.537 0.000 -1.363 0.000 4.273" Properties=species:S:1:pos:R:3 comment="CdMo2Rh (PBE-GGA, relaxed)" dos_at_fermi_per_ev_atom=0.838 crystal_system=monoclinic pbc="T T T"
Cd 0.000 0.000 0.000
Mo 1.408 0.000 3.105
Mo 7.184 0.000 1.168
Rh 4.296 0.000 2.137

No. 9
4
Lattice="1.408 0.813 9.270 -1.408 0.813 9.270 0.000 -1.626 9.270" Properties=species:S:1:pos:R:3 comment="CdMoRh2 (PBE-GGA, relaxed)" dos_at_fermi_per_ev_atom=0.939 crystal_system=trigonal pbc="T T T"
Cd 0.000 0.000 0.000
Mo 0.000 0.000 21.121
Rh 0.000 0.000 6.942
Rh 0.000 0.000 13.938

No. 10
8
Lattice="-3.573 3.573 2.823 3.573 -3.573 2.823 3.573 3.573 -2.823" Properties=species:S:1:pos:R:3 comment="CdMoRh2 (PBE-GGA, relaxed)" dos_at_fermi_per_ev_atom=0.030 crystal_system=tetragonal pbc="T T T"
Cd 0.000 0.000 0.000
Cd 0.000 3.573 1.412
Mo 3.573 0.000 1.412
Mo 0.000 0.000 2.823
Rh 1.787 -1.474 2.118
Rh 2.099 1.787 0.706
Rh 1.787 5.047 -0.706
Rh 1.474 1.787 3.529

No. 11
4
Lattice="2.799 0.000 0.000 0.000 2.799 0.000 0.000 0.000 8.393" Properties=species:S:1:pos:R:3 comment="CdMo2Rh (PBE-GGA, relaxed)" dos_at_fermi_per_ev_atom=0.788 crystal_system=tetragonal pbc="T T T"
Cd 0.000 0.000 0.000
Mo 0.000 0.000 4.491
Mo 1.400 1.400 2.304
Rh 1.400 1.400 6.241

No. 12
4
Lattice="4.192 0.000 0.000 0.000 4.192 0.000 0.000 0.000 3.631" Properties=species:S:1:pos:R:3 comment="CdMoRh2 (PBE-GGA, relaxed)" dos_at_fermi_per_ev_atom=1.288 crystal_system=tetragonal pbc="T T T"
Cd 0.000 0.000 0.000
Mo 2.096 2.096 0.000
Rh 0.000 2.096 1.815
Rh 2.096 0.000 1.815

| no. | formation energy (meV per atom) |
| --- | --- |
| 1 | 284 |
| 2 | 191 |
| 3 | 260 |
| 4 | 69 |
| 5 | 2053 |
| 6 | 87 |
| 7 | 182 |
| 8 | 208 |
| 9 | 99 |
| 10 | 406 |
| 11 | 103 |
| 12 | 172 |